Below is a relaxed YP2Pt crystal, with properties calculated at the PBE-GGA level.

Results
Space group: P4/mmm
E above lowest polymorph in meV/atom: 772
ΔE_f in eV/atom: -0.2973
N(E_F) in states/eV per atom: 1.12

```
YP2Pt
1.0
-0.457 -3.000 1.906
3.407 0.186 1.110
-1.626 3.089 4.473
P Pt Y
2 1 1
direct
0.000 0.000 0.442 P
0.000 0.000 0.058 P
0.500 0.500 0.250 Pt
0.500 0.500 0.750 Y
```